Below is a relaxed TcAs2SeBr crystal, with properties calculated at the PBE level.

Structure (extended XYZ):
```
5
Lattice="-2.201 -3.773 -2.021 -1.067 -1.717 4.368 -4.331 2.555 -0.054" Properties=species:S:1:pos:R:3 pbc="T T T"
As -0.533 -0.858 2.184
As -1.100 -1.887 -1.010
Se -3.799 -1.468 1.147
Tc 0.000 0.000 0.000
Br -2.166 1.277 -0.027
```

## Properties
Magnetic moment: 0.0 μB/f.u.
Space group: P4/mmm, No. 123
Energy relative to the elements, uncorrected: 0.49 eV/atom
ΔE to the lowest computed polymorph: 0.159 eV/atom
DFT total energy: -22.4 eV per cell